A relaxed ZrSc3Al8 crystal. Source: the Alexandria database, functional PBE.

Geometry as CIF:
```
data_ZrSc3Al8
_space_group_name_H-M_alt 'P 3 m 1'
_space_group_IT_number 156
_space_group_name_Hall 'P 3 -2"'
_cell_length_a 5.3370
_cell_length_b 5.3370
_cell_length_c 8.7635
_cell_angle_alpha 90.00
_cell_angle_beta 90.00
_cell_angle_gamma 120.00
loop_
_atom_site_label
_atom_site_type_symbol
_atom_site_fract_x
_atom_site_fract_y
_atom_site_fract_z
Zr1 Zr 0.0000 0.0000 0.0000
Sc1 Sc 0.0000 0.0000 0.3649
Sc2 Sc 0.6667 0.3333 0.5006
Sc3 Sc 0.6667 0.3333 0.8665
Al1 Al 0.1620 0.3239 0.6852
Al2 Al 0.3333 0.6667 0.4334
Al3 Al 0.3333 0.6667 0.9327
Al4 Al 0.5044 0.0088 0.1811
```

- E_tot: -5.2802 eV/atom
- E above lowest polymorph: 0.009 eV per atom
- DOS(E_F): 0.6355 states/eV per atom
- ρ: 3.39 Mg/m³
- Calculated formation energy: -490 meV per atom